ZrAg2Sb at its PBEsol-relaxed geometry, computed with SCAN.

Cell: 3.066 3.066 10.076 Å, 81.25 81.25 60.00°
Atoms (fractional coordinates):
Ag: 0.251 0.251 0.246
Ag: 0.749 0.749 0.754
Sb: 0.500 0.500 0.500
Zr: 0.000 0.000 0.000

Output
density: 8814 kg/m³
total energy: -32.57 eV per atom
size of the total moment: 0.000 Bohr magnetons per cell